No. 1
Material: PmPrCdTc
Method: DFT, GGA-PBE
State: relaxed

Properties
Raw total energy = -20.715 eV per cell
Size of the total moment = 0.00 μB per formula unit
Energy of formation = 0.6 kcal/mol of atoms

```
PmPrCdTc
1.0
5.2025 0.0000 0.0000
2.6012 4.5055 0.0000
2.6012 1.5018 4.2478
Cd Pr Tc Pm
1 1 1 1
Direct
0.2500 0.2500 0.2500
0.0000 0.0000 0.0000
0.7500 0.7500 0.7500
0.5000 0.5000 0.5000
```

***

No. 2
Material: Pm2PrTl2Cd2
Method: DFT, GGA-PBE
State: relaxed

Properties
Raw total energy = -22.197 eV per cell
Size of the total moment = 0.00 μB per formula unit
Energy of formation = -4.5 kcal/mol of atoms

```
Pm2PrTl2Cd2
1.0
-2.3293 3.2568 -3.0766
-2.9240 -1.7131 -3.7434
-8.9324 0.6283 3.2841
Cd Pr Pm Tl
2 1 2 2
Direct
0.4220 0.4220 0.7341
0.5780 0.5780 0.2659
0.0000 0.0000 0.0000
0.8674 0.8674 0.3978
0.1326 0.1326 0.6022
0.2688 0.2688 0.1936
0.7312 0.7312 0.8064
```

***

No. 3
Material: PmPrTmCd
Method: DFT, GGA-PBE
State: relaxed

Properties
Raw total energy = -15.141 eV per cell
Size of the total moment = 0.00 μB per formula unit
Energy above the lowest structure with this stoichiometry = 0.37 eV/f.u.
Energy of formation = -1.3 kcal/mol of atoms

```
PmPrTmCd
1.0
5.5434 0.0000 0.0000
2.7717 4.8007 0.0000
2.7717 1.6002 4.5261
Pr Tm Pm Cd
1 1 1 1
Direct
0.7500 0.7500 0.7500
0.5000 0.5000 0.5000
0.2500 0.2500 0.2500
0.0000 0.0000 0.0000
```

***

No. 4
Material: PmPrTmCd
Method: DFT, GGA-PBE
State: relaxed

Properties
Raw total energy = -15.511 eV per cell
Size of the total moment = 0.00 μB per formula unit
Energy above the lowest structure with this stoichiometry = 0.00 eV/f.u.
Energy of formation = -3.4 kcal/mol of atoms

```
PmPrTmCd
1.0
-0.3853 -3.3091 1.5323
1.5074 -1.5476 -2.9630
8.1993 0.7866 3.7606
Tm Pr Cd Pm
1 1 1 1
Direct
0.5000 0.5000 0.3530
0.0000 0.0000 0.0794
0.0000 0.0000 0.5592
0.5000 0.5000 0.7932
```

***

No. 5
Material: Pm2Cd5Pt
Method: DFT, GGA-PBE
State: relaxed

Properties
Raw total energy = -22.465 eV per cell
Size of the total moment = 0.00 μB per formula unit
Energy of formation = -6.8 kcal/mol of atoms

```
Pm2Cd5Pt
1.0
4.6198 0.0000 1.4620
2.0786 4.1258 1.4620
-0.8455 -0.5208 10.7015
Cd Pm Pt
5 2 1
Direct
0.8031 0.8031 0.5907
0.6488 0.6488 0.0537
0.1969 0.1969 0.4093
0.3512 0.3512 0.9463
0.5000 0.5000 0.5000
0.0873 0.0873 0.7380
0.9127 0.9127 0.2620
0.0000 0.0000 0.0000
```

***

No. 6
Material: PmCd2Pt
Method: DFT, GGA-PBE
State: relaxed

Properties
Raw total energy = -30.422 eV per cell
Size of the total moment = 0.00 μB per formula unit
Energy above the lowest structure with this stoichiometry = 0.00 eV/f.u.
Energy of formation = -14.9 kcal/mol of atoms

```
PmCd2Pt
1.0
4.2030 -0.0001 0.0000
-2.1016 5.0491 0.0000
0.0000 0.0000 8.6513
Pm Cd Pt
2 4 2
Direct
0.9337 0.8664 0.2500
0.0663 0.1336 0.7500
0.6419 0.2841 0.0467
0.6419 0.2841 0.4533
0.3581 0.7159 0.9533
0.3581 0.7159 0.5467
0.7739 0.5468 0.7500
0.2261 0.4532 0.2500
```

***

No. 7
Material: Pm12CdPt6
Method: DFT, GGA-PBE
State: relaxed

Properties
Raw total energy = -106.707 eV per cell
Size of the total moment = 0.00 μB per formula unit
Energy above the lowest structure with this stoichiometry = 1.61 eV/f.u.
Energy of formation = -15.2 kcal/mol of atoms

```
Pm12CdPt6
1.0
-3.6581 -4.9469 -6.0357
-4.3012 -2.3862 7.0773
-3.4971 7.6973 -1.6747
Pm Pt Cd
12 6 1
Direct
0.4222 0.5716 0.1754
0.0750 0.6674 0.9297
0.6674 0.9297 0.0750
0.0703 0.9250 0.3326
0.1754 0.4222 0.5716
0.4284 0.8246 0.5778
0.5778 0.4284 0.8246
0.8246 0.5778 0.4284
0.9250 0.3326 0.0703
0.5716 0.1754 0.4222
0.3326 0.0703 0.9250
0.9297 0.0750 0.6674
0.8598 0.3887 0.6902
0.3098 0.1402 0.6113
0.3887 0.6902 0.8598
0.1402 0.6113 0.3098
0.6902 0.8598 0.3887
0.6113 0.3098 0.1402
0.0000 0.0000 0.0000
```

***

No. 8
Material: Pm3Cd2Pt4
Method: DFT, GGA-PBE
State: relaxed

Properties
Raw total energy = -48.012 eV per cell
Size of the total moment = 0.00 μB per formula unit
Energy above the lowest structure with this stoichiometry = 0.06 eV/f.u.
Energy of formation = -19.9 kcal/mol of atoms

```
Pm3Cd2Pt4
1.0
4.4121 0.0000 0.0000
-2.2061 5.0456 0.2915
0.0000 -0.8749 9.2311
Cd Pt Pm
2 4 3
Direct
0.3255 0.6509 0.2208
0.6745 0.3491 0.7792
0.0794 0.1587 0.6209
0.7038 0.4076 0.0832
0.9206 0.8413 0.3791
0.2962 0.5924 0.9168
0.6273 0.2546 0.3820
0.0000 0.0000 0.0000
0.3727 0.7454 0.6180
```